No. 1
Computed, not measured: an optimized crystal structure of BaCrMo3 at the PBE level of DFT.

## Properties
- Excess energy over the best structure of this formula in the dataset: 0 meV per atom
- Spin magnetization: 0.00 μB/cell
- Formation energy: 1.298 eV/atom

abc: 4.7363 4.7363 4.7363
angles: 90.00 90.00 90.00
Last column: nearest neighbours and their distance in Å.
Space group Pm-3m (No. 221)
Unique sites:
Ba1 0.0000 0.0000 0.0000 [1 per cell]  12 Mo 3.35
Cr1 0.5000 0.5000 0.5000 [1 per cell]  6 Mo 2.37
Mo1 0.0000 0.5000 0.5000 [3 per cell]  2 Cr 2.37



No. 2
Computed, not measured: an optimized crystal structure of Ba4CrMo at the PBE level of DFT.

## Properties
- Spin magnetization: 35.16 μB/cell
- Formation energy: 1.380 eV/atom

abc: 10.2121 10.2121 10.2121
angles: 90.00 90.00 90.00
Last column: nearest neighbours and their distance in Å.
Space group F-43m (No. 216)
Unique sites:
Ba1 0.1252 0.1252 0.1252 [16 per cell]  6 Ba 3.61-3.62
Cr1 0.2500 0.2500 0.7500 [4 per cell]  12 Ba 4.23, 4 Mo 4.42
Mo1 0.0000 0.0000 0.5000 [4 per cell]  12 Ba 4.23, 4 Cr 4.42



No. 3
Computed, not measured: an optimized crystal structure of BaCrMo at the PBE level of DFT.

## Properties
- Excess energy over the best structure of this formula in the dataset: 260 meV per atom
- Spin magnetization: 0.00 μB/cell
- Formation energy: 1.097 eV/atom

abc: 3.2649 3.2649 7.3757
angles: 90.00 90.00 120.00
Last column: nearest neighbours and their distance in Å.
Space group P3m1 (No. 156)
Unique sites:
Ba1 0.0000 0.0000 0.0000 [1 per cell]  6 Ba 3.26, 3 Cr 3.46, 3 Mo 3.56
Cr1 0.6667 0.3333 0.3928 [1 per cell]  3 Mo 2.38
Mo1 0.3333 0.6667 0.5899 [1 per cell]  3 Cr 2.38



No. 4
Computed, not measured: an optimized crystal structure of BaCrMo2 at the PBE level of DFT.

## Properties
- Excess energy over the best structure of this formula in the dataset: 0 meV per atom
- Spin magnetization: 0.00 μB/cell
- Formation energy: 0.761 eV/atom

abc: 3.3910 3.3910 7.7916
angles: 90.00 90.00 90.00
Last column: nearest neighbours and their distance in Å.
Space group P4mm (No. 99)
Unique sites:
Ba1 0.0000 0.0000 0.0000 [1 per cell]  4 Ba 3.39, 4 Cr 3.65, 5 Mo 3.69-3.77
Cr1 0.5000 0.5000 0.3535 [1 per cell]  1 Mo 2.24
Mo1 0.0000 0.0000 0.4833 [1 per cell]  4 Cr 2.60, 4 Mo 2.69
Mo2 0.5000 0.5000 0.6409 [1 per cell]  1 Cr 2.24



No. 5
Computed, not measured: an optimized crystal structure of BaCr4Mo at the PBE level of DFT.

## Properties
- Spin magnetization: 0.00 μB/cell
- Formation energy: 1.034 eV/atom

abc: 7.2175 7.2175 7.2175
angles: 90.00 90.00 90.00
Last column: nearest neighbours and their distance in Å.
Space group F-43m (No. 216)
Unique sites:
Ba1 0.0000 0.0000 0.0000 [4 per cell]  12 Cr 3.00, 4 Mo 3.13
Cr1 0.1232 0.1232 0.6232 [16 per cell]  6 Cr 2.51-2.59
Mo1 0.2500 0.2500 0.2500 [4 per cell]  12 Cr 2.99, 4 Ba 3.13



No. 6
Computed, not measured: an optimized crystal structure of BaCrMo2N at the PBE level of DFT.

## Properties
- Spin magnetization: 0.08 μB/cell
- Formation energy without anion corrections: 0.865 eV/atom

abc: 4.0753 4.0753 5.3726
angles: 90.00 90.00 90.00
Last column: nearest neighbours and their distance in Å.
Space group P4/mmm (No. 123)
Unique sites:
Ba1 0.0000 0.0000 0.0000 [1 per cell]  2 N 2.69, 4 Cr 2.88
Cr1 0.5000 0.5000 0.0000 [1 per cell]  4 Ba 2.88
Mo1 0.0000 0.5000 0.5000 [2 per cell]  2 N 2.04
N1 0.0000 0.0000 0.5000 [1 per cell]  4 Mo 2.04



The highest spin magnetization belongs to which entry?
Ba4CrMo



Which of these has the highest spin magnetization?
Ba4CrMo